Record 1
Entry from Alexandria via LeMat-Bulk: a relaxed structure of CaAcPr2In4 (PBE). Values from VASP.

Properties
Theoretical density, g cm⁻³: 6.77
Formation energy, eV per atom: -0.449
Raw total energy, eV/f.u.: -30.213

Structure (Quantum ESPRESSO input):
```
&SYSTEM
  ibrav = 0, nat = 8, ntyp = 4
/
ATOMIC_SPECIES
Ca 40.08 Ca.upf
Ac 227.00 Ac.upf
Pr 140.91 Pr.upf
In 114.82 In.upf
CELL_PARAMETERS angstrom
2.782 1.606 9.220
-2.782 1.606 9.220
0.000 -3.212 9.220
ATOMIC_POSITIONS crystal
Ca 0.000 0.000 0.000
Ac 0.500 0.500 0.500
Pr 0.254 0.254 0.254
Pr 0.746 0.746 0.746
In 0.123 0.123 0.123
In 0.374 0.374 0.374
In 0.626 0.626 0.626
In 0.877 0.877 0.877
```

---

Record 2
Entry from Alexandria via LeMat-Bulk: a relaxed structure of Ca2AcPrIn4 (PBE). Values from VASP.

Properties
Theoretical density, g cm⁻³: 6.15
Formation energy, eV per atom: -0.453
Raw total energy, eV/f.u.: -27.470

Structure (Quantum ESPRESSO input):
```
&SYSTEM
  ibrav = 0, nat = 8, ntyp = 4
/
ATOMIC_SPECIES
Ca 40.08 Ca.upf
Ac 227.00 Ac.upf
Pr 140.91 Pr.upf
In 114.82 In.upf
CELL_PARAMETERS angstrom
2.784 1.607 9.130
-2.784 1.607 9.130
0.000 -3.214 9.130
ATOMIC_POSITIONS crystal
Ca 0.249 0.249 0.249
Ca 0.751 0.751 0.751
Ac 0.000 0.000 0.000
Pr 0.500 0.500 0.500
In 0.127 0.127 0.127
In 0.379 0.379 0.379
In 0.621 0.621 0.621
In 0.873 0.873 0.873
```

---

Record 3
Entry from Alexandria via LeMat-Bulk: a relaxed structure of CaAcPuIn (PBE). Values from VASP.

Properties
Theoretical density, g cm⁻³: 8.09
Formation energy, eV per atom: 0.092
Raw total energy, eV/f.u.: -22.814

Structure (Quantum ESPRESSO input):
```
&SYSTEM
  ibrav = 0, nat = 4, ntyp = 4
/
ATOMIC_SPECIES
Ca 40.08 Ca.upf
Ac 227.00 Ac.upf
Pu 244.00 Pu.upf
In 114.82 In.upf
CELL_PARAMETERS angstrom
0.000 4.005 4.005
4.005 0.000 4.005
4.005 4.005 0.000
ATOMIC_POSITIONS crystal
Ca 0.000 0.000 0.000
Ac 0.750 0.750 0.750
Pu 0.500 0.500 0.500
In 0.250 0.250 0.250
```